No. 1
Computed, not measured: a relaxed NdSi3Ru3 crystal at the GGA-PBE level of DFT.

a b c (Å): 6.6176 6.6176 7.8860
angles (deg): 65.19 65.19 60.00
Fractional coordinates of all 14 atoms:
Nd 0.3332 0.3332 0.0003
Nd 0.6668 0.6668 0.9997
Si 0.1778 0.6569 0.2877
Si 0.8777 0.1778 0.2877
Si 0.6569 0.8777 0.2877
Si 0.3431 0.1223 0.7123
Si 0.1223 0.8222 0.7123
Si 0.8222 0.3431 0.7123
Ru 0.5251 0.7537 0.6388
Ru 0.7537 0.0824 0.6388
Ru 0.0824 0.5251 0.6388
Ru 0.9176 0.4749 0.3612
Ru 0.2463 0.9176 0.3612
Ru 0.4749 0.2463 0.3612

space-group type = R-3 (148)
formation energy from raw total energies = -0.366 eV/atom
electronic total energy = -102.9 eV per cell

No. 2
Computed, not measured: a relaxed TaTl2In crystal at the GGA-PBE level of DFT.

a b c (Å): 3.1123 3.1123 10.0447
angles (deg): 90.00 90.00 95.21
Fractional coordinates of all 4 atoms:
In 0.5000 0.5000 0.2500
Ta 0.5000 0.5000 0.7500
Tl 0.0000 0.0000 0.9761
Tl 0.0000 0.0000 0.5239

energy of formation = 0.48 eV/atom
space-group type = Cmmm (65)
electronic total energy = -17.4 eV per cell